Compound: MnCuW2
Source: the Alexandria database
Functional: PBE
Structure: relaxed

Cell lengths 4.2832, 4.2832, 4.2832 Å; angles 60.00, 60.00, 60.00 degrees
Last column: nearest neighbours and their distance in Å.
Sites, in units of the cell vectors:
Mn 0.0000 0.0000 0.0000  8 W 2.62
Cu 0.5000 0.5000 0.5000  8 W 2.62
W 0.2500 0.2500 0.2500  4 Cu 2.62, 4 Mn 2.62
W 0.7500 0.7500 0.7500  4 Cu 2.62, 4 Mn 2.62

- density of states at the Fermi level (states/eV/atom) = 1.20
- energy relative to the elements (eV per formula unit) = 1.7
- total moment (μB per formula unit) = 0.82
- ρ (g/cm3) = 14.529
- symmetry = Fm-3m (225)